Density functional theory data (PBEsol) for BeCuW2N after structural relaxation.

Summary:
E_tot = -35.24 eV/cell
symmetry = No. 123
mass density = 11.93 Mg/m³

The structure in POSCAR format:
```
BeCuW2N
1.0
4.2380 0.0000 0.0000
0.0000 4.2380 0.0000
0.0000 0.0000 3.5188
Be Cu W N
1 1 2 1
Cartesian
0.0000 0.0000 0.0000
0.0000 0.0000 1.7594
0.0000 2.1190 0.0000
2.1190 0.0000 0.0000
2.1190 2.1190 1.7594
```

Density functional theory data (PBEsol) for BeNbCu2S after structural relaxation.

Summary:
E_tot = -18.76 eV/cell
symmetry = No. 123
mass density = 4.40 Mg/m³

The structure in POSCAR format:
```
BeNbCu2S
1.0
4.6560 0.0000 0.0000
0.0000 4.6560 0.0000
0.0000 0.0000 4.5482
Be Nb Cu S
1 1 2 1
Cartesian
0.0000 0.0000 0.0000
0.0000 0.0000 2.2741
0.0000 2.3280 2.2741
2.3280 0.0000 2.2741
2.3280 2.3280 0.0000
```

Density functional theory data (PBEsol) for BeCuNi2 after structural relaxation.

Summary:
E_tot = -21.59 eV/cell
symmetry = No. 123
mass density = 8.15 Mg/m³
E_form = -23 kJ per mole of atoms

The structure in POSCAR format:
```
BeCuNi2
1.0
2.5527 0.0000 0.0000
0.0000 2.5527 0.0000
0.0000 0.0000 5.9372
Be Cu Ni
1 1 2
Cartesian
0.0000 0.0000 0.0000
0.0000 0.0000 2.9686
1.2763 1.2763 1.2898
1.2763 1.2763 4.6474
```

Density functional theory data (PBEsol) for BeCuNi after structural relaxation.

Summary:
E_tot = -14.87 eV/cell
symmetry = No. 156
mass density = 7.42 Mg/m³
E_form = -12 kJ per mole of atoms

The structure in POSCAR format:
```
BeCuNi
1.0
3.7292 0.0000 0.0000
-1.8646 3.2296 0.0000
0.0000 0.0000 2.4392
Be Cu Ni
1 1 1
Cartesian
0.0000 0.0000 0.0000
0.0000 2.1531 0.6500
1.8646 1.0765 1.7167
```

Density functional theory data (PBEsol) for BeCuNi2 after structural relaxation.

Summary:
E_tot = -21.28 eV/cell
symmetry = No. 99
mass density = 8.10 Mg/m³
E_form = -15 kJ per mole of atoms

The structure in POSCAR format:
```
BeCuNi2
1.0
2.5090 0.0000 0.0000
0.0000 2.5090 0.0000
0.0000 0.0000 6.1869
Be Cu Ni
1 1 2
Cartesian
0.0000 0.0000 0.0000
1.2545 1.2545 1.4686
0.0000 0.0000 3.1972
1.2545 1.2545 4.8900
```

Density functional theory data (PBEsol) for BeCuNi6 after structural relaxation.

Summary:
E_tot = -183.25 eV/cell
symmetry = No. 65
mass density = 8.71 Mg/m³
E_form = -6 kJ per mole of atoms

The structure in POSCAR format:
```
BeCuNi6
1.0
3.4269 -4.8620 0.0000
3.4269 4.8620 0.0000
0.0000 0.0000 9.7203
Be Cu Ni
4 4 24
Cartesian
0.0000 0.0000 2.4015
0.0000 0.0000 7.3188
3.4269 2.4201 0.0000
3.4269 -2.4201 0.0000
3.4269 2.4079 4.8602
3.4269 0.0000 2.4163
3.4269 0.0000 7.3040
3.4269 -2.4079 4.8602
0.0000 0.0000 0.0000
0.0000 0.0000 4.8602
1.6864 1.2269 1.1861
1.6864 1.2269 8.5342
1.6773 1.2020 3.6127
1.6773 1.2020 6.1076
3.4269 2.4500 2.3741
3.4269 2.4500 7.3462
1.6773 -1.2020 3.6127
1.6773 -1.2020 6.1076
1.6864 -1.2269 1.1861
1.6864 -1.2269 8.5342
3.4269 0.0000 0.0000
3.4269 0.0000 4.8602
5.1673 1.2269 1.1861
5.1673 1.2269 8.5342
5.1764 1.2020 3.6127
5.1764 1.2020 6.1076
3.4269 -2.4500 2.3741
3.4269 -2.4500 7.3462
5.1764 -1.2020 3.6127
5.1764 -1.2020 6.1076
5.1673 -1.2269 1.1861
5.1673 -1.2269 8.5342
```

Density functional theory data (PBEsol) for Be2CuOs after structural relaxation.

Summary:
E_tot = -49.35 eV/cell
symmetry = No. 8
mass density = 10.77 Mg/m³
E_form = -3 kJ per mole of atoms

The structure in POSCAR format:
```
Be2CuOs
1.0
8.5358 0.0000 0.0000
0.0000 2.5501 0.0000
-1.2773 0.0000 3.8504
Be Cu Os
4 2 2
Cartesian
0.0000 0.0000 0.0000
1.5145 1.2751 1.3137
4.2679 1.2751 0.0000
5.7824 0.0000 1.3137
3.4394 0.0000 1.8453
7.7073 1.2751 1.8453
1.0315 0.0000 3.2898
5.2994 1.2751 3.2898
```

Density functional theory data (PBEsol) for Be2CuOs after structural relaxation.

Summary:
E_tot = -49.38 eV/cell
symmetry = No. 38
mass density = 10.85 Mg/m³
E_form = -3 kJ per mole of atoms

The structure in POSCAR format:
```
Be2CuOs
1.0
3.7273 0.0000 0.0000
0.0000 2.5494 0.0000
0.0000 0.0000 8.7587
Be Cu Os
4 2 2
Cartesian
0.0000 0.0000 0.0000
0.0000 1.2747 4.3793
1.8637 0.0000 1.2669
1.8637 1.2747 5.6463
1.8637 0.0000 3.6049
1.8637 1.2747 7.9842
0.0000 0.0000 6.4521
0.0000 1.2747 2.0727
```

Density functional theory data (PBEsol) for Be2CuOs after structural relaxation.

Summary:
E_tot = -72.65 eV/cell
symmetry = No. 166
mass density = 10.22 Mg/m³
E_form = 8 kJ per mole of atoms

The structure in POSCAR format:
```
Be2CuOs
1.0
2.6162 0.0000 0.0000
-1.3081 2.2657 0.0000
0.0000 0.0000 22.3433
Be Cu Os
6 3 3
Cartesian
0.0000 0.0000 5.5657
0.0000 0.0000 16.7776
0.0000 1.5104 9.3298
0.0000 1.5104 20.4613
1.3081 0.7552 1.8820
1.3081 0.7552 13.0135
0.0000 0.0000 11.1716
0.0000 1.5104 3.7239
1.3081 0.7552 18.6194
0.0000 0.0000 0.0000
0.0000 1.5104 14.8955
1.3081 0.7552 7.4478
```

Density functional theory data (PBEsol) for Be2CuOs after structural relaxation.

Summary:
E_tot = -25.31 eV/cell
symmetry = No. 123
mass density = 11.13 Mg/m³
E_form = -18 kJ per mole of atoms

The structure in POSCAR format:
```
Be2CuOs
1.0
3.7149 0.0000 0.0000
0.0000 3.7149 0.0000
0.0000 0.0000 2.9376
Be Cu Os
2 1 1
Cartesian
0.0000 1.8574 0.0000
1.8574 0.0000 0.0000
0.0000 0.0000 1.4688
1.8574 1.8574 1.4688
```

Density functional theory data (PBEsol) for Be2CuOs after structural relaxation.

Summary:
E_tot = -48.25 eV/cell
symmetry = No. 65
mass density = 10.29 Mg/m³
E_form = 10 kJ per mole of atoms

The structure in POSCAR format:
```
Be2CuOs
1.0
2.8445 0.0000 0.0000
0.0000 4.2386 0.0000
0.0000 0.0000 7.2765
Be Cu Os
4 2 2
Cartesian
0.0000 0.0000 1.7831
0.0000 0.0000 5.4934
1.4222 2.1193 1.7831
1.4222 2.1193 5.4934
0.0000 2.1193 0.0000
1.4222 0.0000 0.0000
0.0000 2.1193 3.6383
1.4222 0.0000 3.6383
```

Density functional theory data (PBEsol) for BeCuP2 after structural relaxation.

Summary:
E_tot = -19.34 eV/cell
symmetry = No. 25
mass density = 4.27 Mg/m³
E_form = 14 kJ per mole of atoms

The structure in POSCAR format:
```
BeCuP2
1.0
2.4696 0.0000 0.0000
0.0000 3.4517 0.0000
0.0000 0.0000 6.1395
Be Cu P
1 1 2
Cartesian
0.0000 0.0000 0.0000
1.2348 1.7258 1.2925
0.0000 0.0000 2.4606
1.2348 1.7258 5.0395
```

Number 1: DOS at the Fermi energy 0.92 states/eV per atom, calculated volume 12.6 A^3/atom. Number 2: DOS at the Fermi energy 0.99 states/eV per atom, calculated volume 19.7 A^3/atom. Number 3: DOS at the Fermi energy 0.45 states/eV per atom, calculated volume 9.7 A^3/atom. Number 4: DOS at the Fermi energy 0.33 states/eV per atom, calculated volume 9.8 A^3/atom. Number 5: DOS at the Fermi energy 0.67 states/eV per atom, calculated volume 9.7 A^3/atom. Number 6: DOS at the Fermi energy 1.10 states/eV per atom, calculated volume 10.1 A^3/atom. Number 7: DOS at the Fermi energy 0.36 states/eV per atom, calculated volume 10.5 A^3/atom. Number 8: DOS at the Fermi energy 0.38 states/eV per atom, calculated volume 10.4 A^3/atom. Number 9: DOS at the Fermi energy 0.43 states/eV per atom, calculated volume 11.0 A^3/atom. Number 10: DOS at the Fermi energy 0.35 states/eV per atom, calculated volume 10.1 A^3/atom. Number 11: DOS at the Fermi energy 0.56 states/eV per atom, calculated volume 11.0 A^3/atom. Number 12: DOS at the Fermi energy 0.36 states/eV per atom, calculated volume 13.1 A^3/atom.